## Li2FeTc (PBE)

Data for a relaxed structure of Li2FeTc. Values from VASP.

Results
Crystal system ... trigonal
Space group ... R-3m, No. 166
Distance to the lowest polymorph of the same formula ... 126 meV/atom
DOS(E_F) ... 1.0613 states/eV per atom
E ... -21.36 eV for the cell shown

Quantum ESPRESSO input file:
```
&SYSTEM
  ibrav = 0, nat = 4, ntyp = 3
/
ATOMIC_SPECIES
Fe 55.84 Fe.upf
Li 6.94 Li.upf
Tc 98.00 Tc.upf
CELL_PARAMETERS angstrom
-4.342 -2.560 8.013
-6.224 -3.255 6.346
-4.275 -4.906 6.875
ATOMIC_POSITIONS angstrom
Fe -3.710 -2.680 5.309
Li -14.831 -10.713 21.220
Li -7.431 -5.368 10.632
Tc -11.131 -8.041 15.926
```


## Co2WI (PBE)

Data for a relaxed structure of Co2WI. Values from VASP.

Results
Formation energy (no corrections) ... 1040 meV/atom
Crystal system ... tetragonal
Space group ... I-42d, No. 122
Distance to the lowest polymorph of the same formula ... 0 meV/atom
DOS(E_F) ... 1.2338 states/eV per atom
E ... -49.11 eV for the cell shown

Quantum ESPRESSO input file:
```
&SYSTEM
  ibrav = 0, nat = 8, ntyp = 3
/
ATOMIC_SPECIES
I 126.90 I.upf
Co 58.93 Co.upf
W 183.84 W.upf
CELL_PARAMETERS angstrom
-1.141 5.362 2.314
-5.437 -1.835 1.572
-1.636 0.357 6.018
ATOMIC_POSITIONS angstrom
I -3.289 1.763 1.943
I -5.181 0.142 4.766
Co -1.832 3.355 3.209
Co -3.919 -0.532 2.714
Co -3.548 1.639 5.928
Co -7.129 3.304 7.956
W 0.000 0.000 0.000
W -3.033 3.741 5.137
```


## Y8Er2Hg (PBE)

Data for a relaxed structure of Y8Er2Hg. Values from VASP.

Results
Crystal system ... monoclinic
Space group ... C2/m, No. 12
DOS(E_F) ... 1.5205 states/eV per atom
E ... -61.77 eV for the cell shown

Quantum ESPRESSO input file:
```
&SYSTEM
  ibrav = 0, nat = 11, ntyp = 3
/
ATOMIC_SPECIES
Y 88.91 Y.upf
Er 167.26 Er.upf
Hg 200.59 Hg.upf
CELL_PARAMETERS angstrom
5.339 0.000 -1.533
-0.129 6.372 -0.449
0.000 -0.171 10.065
ATOMIC_POSITIONS angstrom
Y 2.203 2.381 7.673
Y 3.506 0.747 2.145
Y 4.479 1.170 5.537
Y 5.008 4.538 7.378
Y 0.731 5.032 2.546
Y 1.705 5.455 5.938
Y 3.007 3.821 0.410
Y 0.202 1.664 0.705
Er 3.955 4.156 3.711
Er 1.255 2.046 4.372
Hg 2.670 0.000 -0.766
```


## SrReSe2N (PBE)

Data for a relaxed structure of SrReSe2N. Values from VASP.

Results
Formation energy (no corrections) ... 1742 meV/atom
Crystal system ... tetragonal
Space group ... P4/mmm, No. 123
Distance to the lowest polymorph of the same formula ... 2274 meV/atom
DOS(E_F) ... 0.7836 states/eV per atom
E ... -20.71 eV for the cell shown

Quantum ESPRESSO input file:
```
&SYSTEM
  ibrav = 0, nat = 5, ntyp = 4
/
ATOMIC_SPECIES
Re 186.21 Re.upf
N 14.01 N.upf
Se 78.96 Se.upf
Sr 87.62 Sr.upf
CELL_PARAMETERS angstrom
5.759 0.000 0.000
0.000 5.759 0.000
0.000 0.000 4.707
ATOMIC_POSITIONS angstrom
Re 2.880 2.880 2.354
N 0.000 0.000 2.354
Se 0.000 2.880 0.000
Se 2.880 0.000 0.000
Sr 0.000 0.000 0.000
```


## In2Cu3Se6O18 (PBE)

Data for a relaxed structure of In2Cu3Se6O18. Values from VASP.

Results
Formation energy (no corrections) ... -863 meV/atom
Crystal system ... monoclinic
Space group ... P2_1/c, No. 14
DOS(E_F) ... 0.0385 states/eV per atom
E ... -305.92 eV for the cell shown

Quantum ESPRESSO input file:
```
&SYSTEM
  ibrav = 0, nat = 58, ntyp = 4
/
ATOMIC_SPECIES
In 114.82 In.upf
Cu 63.55 Cu.upf
Se 78.96 Se.upf
O 16.00 O.upf
CELL_PARAMETERS angstrom
19.849 0.000 0.000
0.000 5.632 0.025
0.000 5.306 7.824
ATOMIC_POSITIONS angstrom
In 6.848 7.963 5.793
In 16.772 5.628 5.968
In 13.001 2.975 2.056
In 3.077 5.311 1.881
Cu 9.924 2.653 3.912
Cu 0.000 0.000 0.000
Cu 9.616 4.897 1.360
Cu 19.541 3.389 2.577
Cu 10.232 6.042 6.489
Cu 0.308 7.550 5.272
Se 5.490 5.139 7.312
Se 15.415 8.452 4.449
Se 14.358 5.799 0.537
Se 4.434 2.486 3.400
Se 7.653 5.149 4.100
Se 17.577 8.442 7.661
Se 12.196 5.789 3.749
Se 2.272 2.496 0.188
Se 8.120 2.067 1.159
Se 18.044 6.218 2.778
Se 11.729 8.871 6.690
Se 1.804 4.720 5.071
O 5.290 6.700 6.599
O 15.214 6.891 5.162
O 14.559 4.238 1.250
O 4.635 4.047 2.687
O 3.840 10.383 7.675
O 13.765 3.208 4.086
O 16.009 0.555 0.174
O 6.084 7.730 3.763
O 5.721 4.161 5.890
O 15.645 9.430 5.871
O 14.128 6.777 1.959
O 4.203 1.508 1.978
O 8.400 3.643 4.697
O 18.325 9.948 7.064
O 11.448 7.295 3.152
O 1.524 0.990 0.785
O 8.771 5.704 2.901
O 18.695 2.581 1.036
O 11.078 5.234 4.948
O 1.154 8.357 6.813
O 7.804 8.472 7.713
O 17.728 5.119 4.048
O 12.045 2.466 0.136
O 2.120 5.819 3.801
O 9.159 0.912 0.329
O 19.084 7.373 3.608
O 10.689 10.026 7.520
O 0.765 3.565 4.241
O 9.289 3.061 2.042
O 19.214 5.225 1.895
O 10.560 7.878 5.807
O 0.635 5.714 5.954
O 8.158 6.248 5.361
O 18.082 7.343 6.400
O 11.691 4.690 2.488
O 1.767 3.595 1.449
```


## Li2AcGeCl8 (PBE)

Data for a relaxed structure of Li2AcGeCl8. Values from VASP.

Results
Formation energy (no corrections) ... -1493 meV/atom
Crystal system ... trigonal
Space group ... P-3, No. 147
DOS(E_F) ... 0.4867 states/eV per atom
E ... -45.24 eV for the cell shown

Quantum ESPRESSO input file:
```
&SYSTEM
  ibrav = 0, nat = 12, ntyp = 4
/
ATOMIC_SPECIES
Li 6.94 Li.upf
Ac 227.00 Ac.upf
Ge 72.64 Ge.upf
Cl 35.45 Cl.upf
CELL_PARAMETERS angstrom
-5.874 -0.556 -2.146
4.168 -4.579 -1.040
-2.252 -3.667 7.114
ATOMIC_POSITIONS angstrom
Li -3.166 -2.937 0.241
Li -0.792 -5.864 3.687
Ac 0.000 0.000 0.000
Ge -1.126 -1.833 3.557
Cl -1.412 -6.873 5.644
Cl -1.052 -2.739 1.257
Cl -0.674 -5.948 -0.277
Cl -2.546 -1.928 -1.716
Cl -3.285 -2.853 4.206
Cl -2.906 -6.062 2.672
Cl -6.059 -4.378 2.541
Cl 2.101 -4.423 1.387
```